# LuCoPO, optimized geometry, DFT PBE+U
data_LuCoPO
_cell_length_a 3.7283
_cell_length_b 5.6611
_cell_length_c 6.3522
_cell_angle_alpha 90.00
_cell_angle_beta 90.00
_cell_angle_gamma 90.00
_symmetry_space_group_name_H-M 'P m c 21'
_symmetry_Int_Tables_number 26
loop_
_symmetry_equiv_pos_as_xyz
'x,y,z'
'-x,-y,z+1/2'
'-x,y,z'
'x,-y,z+1/2'
loop_
_atom_site_label
_atom_site_fract_x
_atom_site_fract_y
_atom_site_fract_z
_atom_site_occupancy
Lu1 0.0000 0.0478 0.0000 1
Co1 0.5000 0.3818 0.3582 1
P1 0.5000 0.2284 0.7233 1
O1 0.0000 0.2564 0.2811 1
# Final energy (eV/atom): -6.31
# ΔE to the lowest computed polymorph (meV/atom): 491